Al2TlTe: relaxed, GGA-PBE.

CIF file:
```
data_Al2TlTe
_cell_length_a 3.748
_cell_length_b 3.748
_cell_length_c 7.123
_cell_angle_alpha 90.00
_cell_angle_beta 90.00
_cell_angle_gamma 90.00
_space_group_name_H-M_alt 'P 4/m m m'
_space_group_IT_number 123
_space_group_name_Hall '-P 4 2'
loop_
_atom_site_label
_atom_site_type_symbol
_atom_site_fract_x
_atom_site_fract_y
_atom_site_fract_z
Al1 Al 0.000 0.000 0.218
Tl1 Tl 0.500 0.500 0.500
Te1 Te 0.500 0.500 0.000
```

Results
relative energy among the computed polymorphs	102.9	meV per atom

***

La2ScCl: relaxed, GGA-PBE.

CIF file:
```
data_La2ScCl
_cell_length_a 4.493
_cell_length_b 4.493
_cell_length_c 11.584
_cell_angle_alpha 90.00
_cell_angle_beta 90.00
_cell_angle_gamma 90.00
_space_group_name_H-M_alt 'I -4 m 2'
_space_group_IT_number 119
_space_group_name_Hall 'I -4 -2'
loop_
_atom_site_label
_atom_site_type_symbol
_atom_site_fract_x
_atom_site_fract_y
_atom_site_fract_z
La1 La 0.000 0.000 0.000
La2 La 0.000 0.500 0.250
Sc1 Sc 0.000 0.500 0.750
Cl1 Cl 0.000 0.000 0.500
```

Results
relative energy among the computed polymorphs	449.4	meV per atom

***

SrLi3Pd: relaxed, GGA-PBE.

CIF file:
```
data_SrLi3Pd
_cell_length_a 5.866
_cell_length_b 5.907
_cell_length_c 7.260
_cell_angle_alpha 90.00
_cell_angle_beta 112.85
_cell_angle_gamma 90.00
_space_group_name_H-M_alt 'P 1 21/m 1'
_space_group_IT_number 11
loop_
_space_group_symop_operation_xyz
'x,y,z'
'-x,-y,-z'
'-x,y+1/2,-z'
'x,-y+1/2,z'
loop_
_atom_site_label
_atom_site_type_symbol
_atom_site_fract_x
_atom_site_fract_y
_atom_site_fract_z
Sr1 Sr 0.206 0.250 0.130
Li1 Li 0.229 0.009 0.695
Li2 Li 0.339 0.750 0.376
Pd1 Pd 0.382 0.750 0.034
```

Results
relative energy among the computed polymorphs	0.0	meV per atom
energy of formation from the pure elements	-0.24	eV/atom

***

no.,volume (Å³ per cell)
1,100
2,234
3,232